[1]
# Er2PaS2N2, relaxed, DFT GGA-PBE
data_Er2PaS2N2
_cell_length_a 7.722
_cell_length_b 7.722
_cell_length_c 7.722
_cell_angle_alpha 147.25
_cell_angle_beta 147.25
_cell_angle_gamma 46.99
_space_group_name_H-M_alt 'P 1'
_space_group_IT_number 1
_space_group_name_Hall 'P 1'
loop_
_atom_site_label
_atom_site_type_symbol
_atom_site_fract_x
_atom_site_fract_y
_atom_site_fract_z
Er1 Er 0.121 0.121 0.000
Er2 Er 0.879 0.879 0.000
Pa1 Pa 0.500 0.500 0.000
S1 S 0.311 0.311 0.000
S2 S 0.689 0.689 0.000
N1 N 0.000 0.500 0.500
N2 N 0.500 0.000 0.500
# Raw total energy   -53.8 eV per cell
# Density of states at the Fermi level   5.523 states/eV/f.u.
# Total moment   0.55 μB/f.u.
# Energy relative to the elements, uncorrected   -1.47 eV/atom

---

[2]
# PaTaBi2O8, relaxed, DFT GGA-PBE
data_PaTaBi2O8
_cell_length_a 5.190
_cell_length_b 5.190
_cell_length_c 6.900
_cell_angle_alpha 90.00
_cell_angle_beta 90.00
_cell_angle_gamma 90.94
_space_group_name_H-M_alt 'P 1'
_space_group_IT_number 1
_space_group_name_Hall 'P 1'
loop_
_atom_site_label
_atom_site_type_symbol
_atom_site_fract_x
_atom_site_fract_y
_atom_site_fract_z
Pa1 Pa 0.000 0.000 0.000
Ta1 Ta 0.000 0.000 0.500
Bi1 Bi 0.500 0.500 0.262
Bi2 Bi 0.500 0.500 0.738
O1 O 0.176 0.824 0.272
O2 O 0.176 0.824 0.728
O3 O 0.274 0.274 0.500
O4 O 0.286 0.286 0.000
O5 O 0.714 0.714 0.000
O6 O 0.726 0.726 0.500
O7 O 0.824 0.176 0.272
O8 O 0.824 0.176 0.728
# Raw total energy   -97.1 eV per cell
# Density of states at the Fermi level   0.000 states/eV/f.u.
# Total moment   0.00 μB/f.u.
# Energy relative to the elements, uncorrected   -2.36 eV/atom

---

[3]
# SmGa3CoTc, relaxed, DFT GGA-PBE
data_SmGa3CoTc
_cell_length_a 6.430
_cell_length_b 6.430
_cell_length_c 5.919
_cell_angle_alpha 90.00
_cell_angle_beta 90.00
_cell_angle_gamma 108.06
_space_group_name_H-M_alt 'P 1'
_space_group_IT_number 1
_space_group_name_Hall 'P 1'
loop_
_atom_site_label
_atom_site_type_symbol
_atom_site_fract_x
_atom_site_fract_y
_atom_site_fract_z
Sm1 Sm 0.228 0.772 0.750
Sm2 Sm 0.772 0.228 0.250
Ga1 Ga 0.254 0.254 0.000
Ga2 Ga 0.254 0.254 0.500
Ga3 Ga 0.293 0.707 0.250
Ga4 Ga 0.707 0.293 0.750
Ga5 Ga 0.746 0.746 0.000
Ga6 Ga 0.746 0.746 0.500
Co1 Co 0.489 0.511 0.750
Co2 Co 0.511 0.489 0.250
Tc1 Tc 0.064 0.936 0.250
Tc2 Tc 0.936 0.064 0.750
# Raw total energy   -64.7 eV per cell
# Density of states at the Fermi level   4.631 states/eV/f.u.
# Total moment   0.00 μB/f.u.
# Formation enthalpy at 0 K   -0.183 eV per atom

---

[4]
# BaAlGaPt3, relaxed, DFT GGA-PBE
data_BaAlGaPt3
_cell_length_a 8.132
_cell_length_b 8.132
_cell_length_c 5.993
_cell_angle_alpha 90.00
_cell_angle_beta 90.00
_cell_angle_gamma 135.22
_space_group_name_H-M_alt 'P 1'
_space_group_IT_number 1
_space_group_name_Hall 'P 1'
loop_
_atom_site_label
_atom_site_type_symbol
_atom_site_fract_x
_atom_site_fract_y
_atom_site_fract_z
Ba1 Ba 0.248 0.752 0.750
Ba2 Ba 0.752 0.248 0.250
Al1 Al 0.083 0.917 0.250
Al2 Al 0.917 0.083 0.750
Ga1 Ga 0.411 0.589 0.250
Ga2 Ga 0.589 0.411 0.750
Pt1 Pt 0.245 0.755 0.250
Pt2 Pt 0.251 0.251 0.000
Pt3 Pt 0.251 0.251 0.500
Pt4 Pt 0.749 0.749 0.000
Pt5 Pt 0.749 0.749 0.500
Pt6 Pt 0.755 0.245 0.750
# Raw total energy   -62.6 eV per cell
# Density of states at the Fermi level   1.580 states/eV/f.u.
# Total moment   0.00 μB/f.u.
# Formation enthalpy at 0 K   -0.744 eV per atom

---

[5]
# PrNd2Ru2, relaxed, DFT GGA-PBE
data_PrNd2Ru2
_cell_length_a 6.118
_cell_length_b 6.118
_cell_length_c 5.901
_cell_angle_alpha 104.90
_cell_angle_beta 104.90
_cell_angle_gamma 38.60
_space_group_name_H-M_alt 'P 1'
_space_group_IT_number 1
_space_group_name_Hall 'P 1'
loop_
_atom_site_label
_atom_site_type_symbol
_atom_site_fract_x
_atom_site_fract_y
_atom_site_fract_z
Pr1 Pr 0.000 0.000 0.000
Nd1 Nd 0.344 0.344 0.384
Nd2 Nd 0.656 0.656 0.616
Ru1 Ru 0.300 0.300 0.872
Ru2 Ru 0.700 0.700 0.128
# Raw total energy   -33.1 eV per cell
# Density of states at the Fermi level   4.165 states/eV/f.u.
# Total moment   0.00 μB/f.u.
# Formation enthalpy at 0 K   -0.039 eV per atom

---

[6]
# UPbCl6, relaxed, DFT GGA-PBE
data_UPbCl6
_cell_length_a 7.519
_cell_length_b 7.519
_cell_length_c 7.519
_cell_angle_alpha 54.70
_cell_angle_beta 54.70
_cell_angle_gamma 54.70
_space_group_name_H-M_alt 'P 1'
_space_group_IT_number 1
_space_group_name_Hall 'P 1'
loop_
_atom_site_label
_atom_site_type_symbol
_atom_site_fract_x
_atom_site_fract_y
_atom_site_fract_z
U1 U 0.000 0.000 0.000
Pb1 Pb 0.500 0.500 0.500
Cl1 Cl 0.075 0.770 0.394
Cl2 Cl 0.230 0.606 0.925
Cl3 Cl 0.394 0.075 0.770
Cl4 Cl 0.606 0.925 0.230
Cl5 Cl 0.770 0.394 0.075
Cl6 Cl 0.925 0.230 0.606
# Raw total energy   -38.1 eV per cell
# Density of states at the Fermi level   11.580 states/eV/f.u.
# Total moment   2.00 μB/f.u.
# Energy relative to the elements, uncorrected   -1.50 eV/atom

---

[7]
# MnCr2P, relaxed, DFT GGA-PBE
data_MnCr2P
_cell_length_a 2.651
_cell_length_b 3.947
_cell_length_c 4.508
_cell_angle_alpha 90.00
_cell_angle_beta 104.85
_cell_angle_gamma 90.00
_space_group_name_H-M_alt 'P 1'
_space_group_IT_number 1
_space_group_name_Hall 'P 1'
loop_
_atom_site_label
_atom_site_type_symbol
_atom_site_fract_x
_atom_site_fract_y
_atom_site_fract_z
Mn1 Mn 0.000 0.000 0.000
Cr1 Cr 0.339 0.500 0.780
Cr2 Cr 0.552 0.000 0.495
P1 P 0.017 0.500 0.255
# Raw total energy   -34.3 eV per cell
# Density of states at the Fermi level   3.495 states/eV/f.u.
# Total moment   0.00 μB/f.u.
# Formation enthalpy at 0 K   -0.115 eV per atom

---

[8]
# Y4ZrSb5, relaxed, DFT GGA-PBE
data_Y4ZrSb5
_cell_length_a 15.622
_cell_length_b 15.622
_cell_length_c 15.622
_cell_angle_alpha 164.05
_cell_angle_beta 164.05
_cell_angle_gamma 22.64
_space_group_name_H-M_alt 'P 1'
_space_group_IT_number 1
_space_group_name_Hall 'P 1'
loop_
_atom_site_label
_atom_site_type_symbol
_atom_site_fract_x
_atom_site_fract_y
_atom_site_fract_z
Y1 Y 0.099 0.099 0.000
Y2 Y 0.302 0.302 0.000
Y3 Y 0.698 0.698 0.000
Y4 Y 0.901 0.901 0.000
Zr1 Zr 0.500 0.500 0.000
Sb1 Sb 0.000 0.000 0.000
Sb2 Sb 0.200 0.200 0.000
Sb3 Sb 0.403 0.403 0.000
Sb4 Sb 0.597 0.597 0.000
Sb5 Sb 0.800 0.800 0.000
# Raw total energy   -65.3 eV per cell
# Density of states at the Fermi level   2.453 states/eV/f.u.
# Total moment   0.00 μB/f.u.
# Energy relative to the elements, uncorrected   -1.03 eV/atom

---

[9]
# CrMoRh2, relaxed, DFT GGA-PBE
data_CrMoRh2
_cell_length_a 2.710
_cell_length_b 2.710
_cell_length_c 7.658
_cell_angle_alpha 90.00
_cell_angle_beta 90.00
_cell_angle_gamma 90.00
_space_group_name_H-M_alt 'P 1'
_space_group_IT_number 1
_space_group_name_Hall 'P 1'
loop_
_atom_site_label
_atom_site_type_symbol
_atom_site_fract_x
_atom_site_fract_y
_atom_site_fract_z
Cr1 Cr 0.000 0.000 0.000
Mo1 Mo 0.500 0.500 0.259
Rh1 Rh 0.000 0.000 0.509
Rh2 Rh 0.500 0.500 0.781
# Raw total energy   -35.3 eV per cell
# Density of states at the Fermi level   2.879 states/eV/f.u.
# Total moment   0.00 μB/f.u.
# Formation enthalpy at 0 K   -0.028 eV per atom

---

[10]
# PmNd2CdC, relaxed, DFT GGA-PBE
data_PmNd2CdC
_cell_length_a 5.138
_cell_length_b 5.138
_cell_length_c 5.077
_cell_angle_alpha 90.00
_cell_angle_beta 90.00
_cell_angle_gamma 90.00
_space_group_name_H-M_alt 'P 1'
_space_group_IT_number 1
_space_group_name_Hall 'P 1'
loop_
_atom_site_label
_atom_site_type_symbol
_atom_site_fract_x
_atom_site_fract_y
_atom_site_fract_z
Pm1 Pm 0.000 0.000 0.000
Nd1 Nd 0.000 0.500 0.500
Nd2 Nd 0.500 0.000 0.500
Cd1 Cd 0.500 0.500 0.000
C1 C 0.000 0.000 0.500
# Raw total energy   -25.2 eV per cell
# Density of states at the Fermi level   5.530 states/eV/f.u.
# Total moment   0.00 μB/f.u.
# Formation enthalpy at 0 K   -0.160 eV per atom

---

[11]
# Li3AgMo, relaxed, DFT GGA-PBE
data_Li3AgMo
_cell_length_a 5.000
_cell_length_b 5.000
_cell_length_c 5.000
_cell_angle_alpha 90.00
_cell_angle_beta 90.00
_cell_angle_gamma 90.00
_space_group_name_H-M_alt 'P 1'
_space_group_IT_number 1
_space_group_name_Hall 'P 1'
loop_
_atom_site_label
_atom_site_type_symbol
_atom_site_fract_x
_atom_site_fract_y
_atom_site_fract_z
Li1 Li 0.000 0.000 0.500
Li2 Li 0.000 0.500 0.000
Li3 Li 0.500 0.000 0.000
Ag1 Ag 0.500 0.500 0.500
Mo1 Mo 0.000 0.000 0.000
# Raw total energy   -13.2 eV per cell
# Density of states at the Fermi level   2.551 states/eV/f.u.
# Total moment   4.13 μB/f.u.
# Formation enthalpy at 0 K   1.249 eV per atom

---

[12]
# CaBeSbO5, relaxed, DFT GGA-PBE
data_CaBeSbO5
_cell_length_a 5.595
_cell_length_b 5.595
_cell_length_c 7.280
_cell_angle_alpha 105.67
_cell_angle_beta 105.67
_cell_angle_gamma 107.25
_space_group_name_H-M_alt 'P 1'
_space_group_IT_number 1
_space_group_name_Hall 'P 1'
loop_
_atom_site_label
_atom_site_type_symbol
_atom_site_fract_x
_atom_site_fract_y
_atom_site_fract_z
Ca1 Ca 0.083 0.917 0.750
Ca2 Ca 0.917 0.083 0.250
Be1 Be 0.450 0.550 0.750
Be2 Be 0.550 0.450 0.250
Sb1 Sb 0.000 0.500 0.000
Sb2 Sb 0.500 0.000 0.500
O1 O 0.167 0.833 0.250
O2 O 0.220 0.317 0.119
O3 O 0.298 0.662 0.903
O4 O 0.317 0.220 0.619
O5 O 0.338 0.702 0.597
O6 O 0.662 0.298 0.403
O7 O 0.683 0.780 0.381
O8 O 0.702 0.338 0.097
O9 O 0.780 0.683 0.881
O10 O 0.833 0.167 0.750
# Raw total energy   -100.9 eV per cell
# Density of states at the Fermi level   1.194 states/eV/f.u.
# Total moment   1.01 μB/f.u.
# Energy relative to the elements, uncorrected   -1.98 eV/atom